1.
Computed, not measured: Sm2NiN3 after structural relaxation at the GGA-PBE level of DFT.

```
Sm2NiN3
1.0
3.488 0.000 0.000
0.000 3.680 0.000
0.000 0.000 12.416
Sm Ni N
4 2 6
direct
0.000 0.000 0.148
0.000 0.000 0.852
0.500 0.500 0.352
0.500 0.500 0.648
0.000 0.000 0.500
0.500 0.500 0.000
0.000 0.000 0.339
0.000 0.000 0.661
0.000 0.500 0.500
0.500 0.000 0.000
0.500 0.500 0.161
0.500 0.500 0.839
```

***

2.
Computed, not measured: Ni3SnN after structural relaxation at the GGA-PBE level of DFT.

```
Ni3SnN
1.0
3.900 0.000 0.000
0.000 3.900 0.000
0.000 0.000 3.900
Ni Sn N
3 1 1
direct
0.000 0.000 0.500
0.000 0.500 0.000
0.500 0.000 0.000
0.500 0.500 0.500
0.000 0.000 0.000
```

***

3.
Computed, not measured: Y4NiSnN2 after structural relaxation at the GGA-PBE level of DFT.

```
Y4NiSnN2
1.0
3.527 0.000 0.000
-1.763 3.054 0.000
0.000 0.000 14.517
Y Ni Sn N
4 1 1 2
direct
0.000 0.000 0.134
0.000 0.000 0.866
0.667 0.333 0.323
0.667 0.333 0.677
0.667 0.333 0.000
0.000 0.000 0.500
0.333 0.667 0.239
0.333 0.667 0.761
```

***

Number 1: electronic total energy -90.78 eV per cell. Number 2: electronic total energy -29.06 eV per cell. Number 3: electronic total energy -60.05 eV per cell.